<P>
Below is a relaxed structure of RbTlB, with properties calculated at the PBE level.

Summary:
theoretical density: 5.622 g cm⁻³
SG: Cc (9)

Cell: 7.4387 14.6013 7.8757 Å, 90.00 155.47 90.00°
Fractional coordinates of all 12 atoms:
Tl  0.0299  0.3947  0.1034
Tl  0.5299  0.6053  0.6034
Tl  0.0299  0.8947  0.6034
Tl  0.5299  0.1053  0.1034
B  0.1063  0.5028  0.4538
B  0.6063  0.4972  0.9538
B  0.1063  0.0028  0.9538
B  0.6063  0.9972  0.4538
Rb  0.4206  0.6532  0.0423
Rb  0.9206  0.3468  0.5423
Rb  0.4206  0.1532  0.5423
Rb  0.9206  0.8468  0.0423

<Q>
Below is a relaxed structure of RbTlB, with properties calculated at the PBE level.

Summary:
theoretical density: 5.605 g cm⁻³
SG: Pm (6)

Cell: 3.2443 6.1203 8.9722 Å, 90.00 90.64 90.00°
Fractional coordinates of all 6 atoms:
Tl  0.0301  0.5000  0.0337
Tl  0.0253  0.0000  0.8732
B  0.7582  0.0000  0.5895
B  0.2508  0.0000  0.5883
Rb  0.5360  0.0000  0.2490
Rb  0.5128  0.5000  0.6257

So which one wins? Going from most stable to least: <Q>, <P>.

<P>
Below is a relaxed structure of RbTlB, with properties calculated at the PBE level.

Summary:
theoretical density: 5.863 g cm⁻³
SG: P-6m2 (187)

Cell: 4.1062 4.1062 5.8318 Å, 90.00 90.00 120.00°
Fractional coordinates of all 3 atoms:
Tl  0.0000  0.0000  0.5000
B  0.3333  0.6667  0.5000
Rb  0.6667  0.3333  0.0000

<Q>
Below is a relaxed structure of RbTlB, with properties calculated at the PBE level.

Summary:
theoretical density: 5.598 g cm⁻³
SG: P1 (1)

Cell: 3.2633 7.3555 8.2909 Å, 116.33 89.96 90.10°
Fractional coordinates of all 6 atoms:
Tl  0.7895  0.5712  0.7329
Tl  0.7893  0.3456  0.2801
B  0.0506  0.7182  0.5068
B  0.5621  0.7195  0.5068
Rb  0.2892  0.1450  0.8088
Rb  0.2891  0.8441  0.2053

So which one wins? Going from most stable to least: <Q>, <P>.